Compound: PmIn2Br5
Source: Alexandria
Functional: PBE
Structure: optimized geometry

abc: 8.6899 9.1386 13.4692
angles: 90.00 90.00 90.00
Last column: nearest neighbours and their distance in Å.
Atoms (fractional coordinates):
Br1 0.4208 0.2500 0.0054  1 Pm 2.98
Br2 0.5792 0.7500 0.9946  1 Pm 2.98
Br3 0.8921 0.2500 0.1868  1 Pm 2.93
Br4 0.8326 0.0463 0.9273  2 Pm 2.96-3.02
Br5 0.6079 0.2500 0.6868  1 Pm 2.93
Br6 0.9208 0.7500 0.4946  1 Pm 2.98
Br7 0.3326 0.9537 0.5727  2 Pm 2.96-3.02
Br8 0.1569 0.2500 0.7940  1 Pm 2.92
Br9 0.6674 0.0463 0.4273  2 Pm 2.96-3.02
Br10 0.3431 0.2500 0.2940  1 Pm 2.92
Br11 0.6674 0.4537 0.4273  2 Pm 2.96-3.02
Br12 0.8431 0.7500 0.2060  1 Pm 2.92
Br13 0.1674 0.5463 0.0727  2 Pm 2.96-3.02
Br14 0.1674 0.9537 0.0727  2 Pm 2.96-3.02
Br15 0.6569 0.7500 0.7060  1 Pm 2.92
Br16 0.1079 0.7500 0.8132  1 Pm 2.93
Br17 0.3921 0.7500 0.3132  1 Pm 2.93
Br18 0.3326 0.5463 0.5727  2 Pm 2.96-3.02
Br19 0.0792 0.2500 0.5054  1 Pm 2.98
Br20 0.8326 0.4537 0.9273  2 Pm 2.96-3.02
In1 0.9394 0.0027 0.6730  8 Br 3.32-3.70
In2 0.0606 0.9973 0.3270  8 Br 3.32-3.70
In3 0.0606 0.5027 0.3270  8 Br 3.32-3.70
In4 0.9394 0.4973 0.6730  8 Br 3.32-3.70
In5 0.4394 0.9973 0.8270  8 Br 3.32-3.70
In6 0.5606 0.0027 0.1730  8 Br 3.32-3.70
In7 0.5606 0.4973 0.1730  8 Br 3.32-3.70
In8 0.4394 0.5027 0.8270  8 Br 3.32-3.70
Pm1 0.0780 0.2500 0.0051  7 Br 2.92-3.02
Pm2 0.4220 0.2500 0.5051  7 Br 2.92-3.02
Pm3 0.9220 0.7500 0.9949  7 Br 2.92-3.02
Pm4 0.5780 0.7500 0.4949  7 Br 2.92-3.02

**Theoretical density**: 4.81 Mg/m³
**Crystal system**: orthorhombic
**Raw formation energy**: -1286 meV/atom
**Total magnetic moment**: 0.0 μB per formula unit



Compound: Pm2InBr
Source: Alexandria
Functional: PBE
Structure: optimized geometry

abc: 4.4175 4.4175 7.5846
angles: 73.07 73.07 60.00
Last column: nearest neighbours and their distance in Å.
Atoms (fractional coordinates):
In1 0.5000 0.5000 0.5000  6 Pm 3.11
Pm1 0.2495 0.2495 0.2516  3 In 3.11, 3 Br 3.12
Pm2 0.7505 0.7505 0.7484  3 In 3.11, 3 Br 3.12
Br1 0.0000 0.0000 0.0000  6 Pm 3.12

**Theoretical density**: 6.67 Mg/m³
**Crystal system**: trigonal
**Raw formation energy**: -738 meV/atom
**Excess energy over the best structure of this formula in the dataset**: 0.033 eV/atom
**Total magnetic moment**: 0.0 μB per formula unit



Compound: PmInBr6
Source: Alexandria
Functional: PBE
Structure: optimized geometry

abc: 7.5463 7.5463 6.9454
angles: 98.06 98.06 125.15
Last column: nearest neighbours and their distance in Å.
Atoms (fractional coordinates):
Pm1 0.0000 0.0000 0.0000  6 Br 2.84-2.92
Br1 0.5875 0.8753 0.7336  1 In 2.71, 1 Pm 2.92
Br2 0.4125 0.1247 0.2664  1 In 2.71, 1 Pm 2.92
Br3 0.7485 0.7485 0.2550  1 In 2.77, 1 Pm 2.84
Br4 0.2515 0.2515 0.7450  1 In 2.77, 1 Pm 2.84
Br5 0.8753 0.5875 0.7336  1 In 2.71, 1 Pm 2.92
Br6 0.1247 0.4125 0.2664  1 In 2.71, 1 Pm 2.92
In1 0.5000 0.5000 0.5000  6 Br 2.71-2.77

**Theoretical density**: 3.99 Mg/m³
**Crystal system**: monoclinic
**Raw formation energy**: -1275 meV/atom
**Total magnetic moment**: 0.0 μB per formula unit



| no. | final energy (eV/atom) |
| --- | --- |
| 1 | -3.61 |
| 2 | -4.22 |
| 3 | -3.47 |